Compound: KErInTe3
Source: the Open Quantum Materials Database
Functional: PBE
Structure: optimized geometry

As for the total energy: -3.838 eV/atom.

Unit cell a=8.3872 b=8.3872 c=11.9218 alpha=90.00 beta=90.00 gamma=148.12
Closest atoms and distances in Å follow each position.
Atoms (fractional coordinates):
K: 0.2426 0.7574 0.7500  8 Te 3.75-3.96, 2 In 4.00
K: 0.7574 0.2426 0.2500  8 Te 3.75-3.96, 2 In 4.00
Er: 0.0000 0.0000 0.0000  6 Te 3.13-3.21
Er: 0.0000 0.0000 0.5000  6 Te 3.13-3.21
In: 0.4600 0.5400 0.2500  4 Te 2.95-2.96
In: 0.5400 0.4600 0.7500  4 Te 2.95-2.96
Te: 0.0739 0.9261 0.2500  2 In 2.95, 2 Er 3.21
Te: 0.3713 0.6287 0.0329  1 In 2.96, 2 Er 3.13
Te: 0.3713 0.6287 0.4671  1 In 2.96, 2 Er 3.13
Te: 0.6287 0.3713 0.5329  1 In 2.96, 2 Er 3.13
Te: 0.6287 0.3713 0.9671  1 In 2.96, 2 Er 3.13
Te: 0.9261 0.0739 0.7500  2 In 2.95, 2 Er 3.21